Entry from the Alexandria database: a relaxed BIr2I crystal (PBE).

extended XYZ file:
```
8
Lattice="-0.878 4.615 -2.050 -1.508 -2.226 -4.364 -6.539 1.034 -1.278" Properties=species:S:1:pos:R:3 pbc="T T T"
I 0.000 0.000 0.000
I -4.305 3.422 -3.268
B -1.193 1.194 -3.207
B -4.620 0.001 -4.424
Ir -2.284 2.400 -1.940
Ir -2.776 -0.091 -3.510
Ir -5.951 1.447 -3.803
Ir -6.841 3.090 -6.131
```

Values from the calculation:
Its space group is No. 122. Its energy relative to the elements, uncorrected is 11.761 kcal/mol of atoms. For the energy above the most stable polymorph in this dataset, the calculation gives 0 meV per atom.



Entry from the Alexandria database: a relaxed BIrI crystal (PBE).

extended XYZ file:
```
12
Lattice="-0.693 4.244 -2.582 -5.347 -1.614 -1.218 -3.224 4.474 8.219" Properties=species:S:1:pos:R:3 pbc="T T T"
B -1.772 4.511 -1.721
B -7.820 4.599 4.920
B -6.896 7.105 3.919
B -2.696 2.005 -0.720
I -6.411 0.090 1.237
I -2.597 5.442 4.138
I -4.905 2.518 4.824
I -4.103 3.014 0.551
Ir -5.180 4.604 7.225
Ir -3.984 1.887 -2.434
Ir -4.715 -0.560 -1.388
Ir -4.449 7.051 6.180
```

Values from the calculation:
Its space group is No. 29. Its energy relative to the elements, uncorrected is 2.752 kcal/mol of atoms.



Entry from the Alexandria database: a relaxed BIr2I crystal (PBE).

extended XYZ file:
```
4
Lattice="0.000 3.131 3.131 3.131 0.000 3.131 3.131 3.131 0.000" Properties=species:S:1:pos:R:3 pbc="T T T"
I 3.131 3.131 3.131
B 0.000 0.000 0.000
Ir 1.565 1.565 1.565
Ir 4.696 4.696 4.696
```

Values from the calculation:
Its space group is No. 225. Its energy relative to the elements, uncorrected is 33.715 kcal/mol of atoms. For the energy above the most stable polymorph in this dataset, the calculation gives 952 meV per atom.



Entry from the Alexandria database: a relaxed BIr3I crystal (PBE).

extended XYZ file:
```
5
Lattice="-3.239 -1.136 2.533 0.616 -4.090 -1.046 2.707 -0.429 3.269" Properties=species:S:1:pos:R:3 pbc="T T T"
I 0.042 -2.827 2.378
B 0.000 0.000 0.000
Ir 0.308 -2.045 -0.523
Ir 1.354 -0.214 1.635
Ir -1.620 -0.568 1.267
```

Values from the calculation:
Its space group is No. 221. Its energy relative to the elements, uncorrected is 17.223 kcal/mol of atoms. For the energy above the most stable polymorph in this dataset, the calculation gives 0 meV per atom.



Entry from the Alexandria database: a relaxed BIr3I crystal (PBE).

extended XYZ file:
```
5
Lattice="-0.720 4.191 -2.397 -4.800 -0.357 0.816 0.525 2.477 4.174" Properties=species:S:1:pos:R:3 pbc="T T T"
I 0.000 0.000 0.000
B -2.497 3.155 1.297
Ir -2.400 -0.179 0.408
Ir 0.263 1.238 2.087
Ir -0.360 2.096 -1.198
```

Values from the calculation:
Its space group is No. 221. Its energy relative to the elements, uncorrected is 66.879 kcal/mol of atoms. For the energy above the most stable polymorph in this dataset, the calculation gives 2153 meV per atom.



Entry from the Alexandria database: a relaxed B2IrI crystal (PBE).

extended XYZ file:
```
4
Lattice="2.294 -3.241 -1.374 -0.686 -3.855 1.523 -1.760 -2.937 -2.434" Properties=species:S:1:pos:R:3 pbc="T T T"
I 0.000 0.000 0.000
B -0.038 -2.508 -0.571
B -0.115 -7.525 -1.714
Ir -0.076 -5.016 -1.142
```

Values from the calculation:
Its space group is No. 225. Its energy relative to the elements, uncorrected is 44.442 kcal/mol of atoms. For the energy above the most stable polymorph in this dataset, the calculation gives 1223 meV per atom.



Entry from the Alexandria database: a relaxed B2IrI crystal (PBE).

extended XYZ file:
```
8
Lattice="-5.241 1.170 -0.352 0.256 -0.467 -5.356 -3.622 -4.593 -2.477" Properties=species:S:1:pos:R:3 pbc="T T T"
I -2.493 0.351 -2.854
I -2.930 -2.354 -5.343
B -4.687 -0.355 -1.545
B -0.863 -1.414 -3.974
B -4.612 -3.133 -3.448
B -7.053 -2.878 -7.401
Ir 0.000 0.000 0.000
Ir -5.678 -1.536 -2.841
```

Values from the calculation:
Its space group is No. 122. Its energy relative to the elements, uncorrected is 16.244 kcal/mol of atoms. For the energy above the most stable polymorph in this dataset, the calculation gives 0 meV per atom.



Entry from the Alexandria database: a relaxed BIrI2 crystal (PBE).

extended XYZ file:
```
4
Lattice="0.000 3.436 3.436 3.436 0.000 3.436 3.436 3.436 0.000" Properties=species:S:1:pos:R:3 pbc="T T T"
I 1.718 1.718 1.718
I 5.154 5.154 5.154
B 0.000 0.000 0.000
Ir 3.436 3.436 3.436
```

Values from the calculation:
Its space group is No. 225. Its energy relative to the elements, uncorrected is 39.718 kcal/mol of atoms. For the energy above the most stable polymorph in this dataset, the calculation gives 413 meV per atom.



Entry from the Alexandria database: a relaxed BIrIN2 crystal (PBE).

extended XYZ file:
```
5
Lattice="3.455 0.000 0.000 0.000 3.455 0.000 0.000 0.000 8.012" Properties=species:S:1:pos:R:3 pbc="T T T"
I 0.000 0.000 4.006
B 0.000 0.000 0.000
Ir 1.727 1.727 4.006
N 0.000 1.727 0.000
N 1.727 0.000 0.000
```

Values from the calculation:
Its space group is No. 123. Its energy relative to the elements, uncorrected is 44.892 kcal/mol of atoms. For the energy above the most stable polymorph in this dataset, the calculation gives 506 meV per atom.



Entry from the Alexandria database: a relaxed BIrIN2 crystal (PBE).

extended XYZ file:
```
5
Lattice="3.725 0.000 0.000 0.000 3.725 0.000 0.000 0.000 8.583" Properties=species:S:1:pos:R:3 pbc="T T T"
I 0.000 0.000 4.291
B 1.862 1.862 4.291
Ir 0.000 0.000 0.000
N 0.000 1.862 0.000
N 1.862 0.000 0.000
```

Values from the calculation:
Its space group is No. 123. Its energy relative to the elements, uncorrected is 33.216 kcal/mol of atoms. For the energy above the most stable polymorph in this dataset, the calculation gives 0 meV per atom.



Entry from the Alexandria database: a relaxed BIrIO2 crystal (PBE).

extended XYZ file:
```
5
Lattice="3.712 0.000 0.000 0.000 3.712 0.000 0.000 0.000 8.589" Properties=species:S:1:pos:R:3 pbc="T T T"
I 0.000 0.000 4.294
B 1.856 1.856 4.294
Ir 0.000 0.000 0.000
O 0.000 1.856 0.000
O 1.856 0.000 0.000
```

Values from the calculation:
Its space group is No. 123. Its energy relative to the elements, uncorrected is 9.630 kcal/mol of atoms. For the energy above the most stable polymorph in this dataset, the calculation gives 0 meV per atom.



Entry from the Alexandria database: a relaxed BIrI2O crystal (PBE).

extended XYZ file:
```
5
Lattice="5.604 0.000 0.000 0.000 5.604 0.000 0.000 0.000 3.745" Properties=species:S:1:pos:R:3 pbc="T T T"
I 0.000 2.802 0.000
I 2.802 0.000 0.000
B 2.802 2.802 1.873
Ir 0.000 0.000 0.000
O 0.000 0.000 1.873
```

Values from the calculation:
Its space group is No. 123. Its energy relative to the elements, uncorrected is 18.402 kcal/mol of atoms. For the energy above the most stable polymorph in this dataset, the calculation gives 285 meV per atom.